Computed, not measured: a relaxed structure of AgSb at the GGA-PBE level of DFT.

As for the volume: 101 Å³ per cell. The calculation puts the density of states at the Fermi level at 0.66 states/eV per atom. The uncorrected energy comes out at -3.2987 eV per atom. The formation energy from raw total energies is 0.188 eV/atom. As for the energy above the most stable polymorph in this dataset: 109 meV/atom.

a = 4.2330 Å, b = 4.2330 Å, c = 6.5234 Å
α = 90.00°, β = 90.00°, γ = 120.00°
Last column: nearest neighbours and their distance in Å.
Space group P6_3/mmc (No. 194)
Inequivalent atoms, fractional coordinates:
Ag 0.3333 0.6667 0.2500  6 Sb 2.94
Sb 0.0000 0.0000 0.0000  6 Ag 2.94, 2 Sb 3.26

Computed, not measured: a relaxed structure of Ac2Te2S at the GGA-PBE level of DFT.

As for the volume: 737 Å³ per cell. The calculation puts the density of states at the Fermi level at 0.00 states/eV per atom. The uncorrected energy comes out at -5.5256 eV per atom. The formation energy from raw total energies is -1.800 eV/atom. As for the energy above the most stable polymorph in this dataset: 0 meV/atom.

a = 4.7215 Å, b = 18.3896 Å, c = 8.4883 Å
α = 90.00°, β = 90.00°, γ = 90.00°
Last column: nearest neighbours and their distance in Å.
Space group Cmc2_1 (No. 36)
Inequivalent atoms, fractional coordinates:
Ac 0.0000 0.0513 0.0000  2 S 3.00-3.02
Ac 0.0000 0.3230 0.0775  2 S 2.88
Te 0.0000 0.3031 0.4724  5 Ac 3.37-3.58
Te 0.0000 0.4511 0.8041  5 Ac 3.31-3.50
S 0.0000 0.0955 0.6602  4 Ac 2.88-3.02

Computed, not measured: a relaxed structure of Sb2Mo at the GGA-PBE level of DFT.

As for the volume: 67 Å³ per cell. The calculation puts the density of states at the Fermi level at 1.06 states/eV per atom. The uncorrected energy comes out at -5.4544 eV per atom. The formation energy from raw total energies is 0.904 eV/atom.

a = 5.1727 Å, b = 5.1727 Å, c = 2.8980 Å
α = 90.00°, β = 90.00°, γ = 120.00°
Last column: nearest neighbours and their distance in Å.
Space group P6/mmm (No. 191)
Inequivalent atoms, fractional coordinates:
Sb 0.3333 0.6667 0.0000  5 Sb 2.90-2.99
Mo 0.0000 0.0000 0.5000  2 Mo 2.90

The highest uncorrected energy belongs to which entry?
AgSb

Look up the formation energy from raw total energies of the second one.
-1.800 eV/atom

Number 2 is which compound?
Ac2Te2S

What is the formation energy from raw total energies in the third record?
0.904 eV/atom